Record 1
DFT (GGA-PBE) results for an optimized crystal structure of Ac4AgO7.

POSCAR file:
```
Ac4AgO7
1.0
6.927 -2.153 0.000
6.927 2.153 0.000
-6.662 0.000 7.097
Ac Ag O
4 1 7
Direct
0.084 0.084 0.387
0.249 0.249 0.159
0.751 0.751 0.841
0.916 0.916 0.613
0.500 0.500 0.000
0.000 0.000 0.000
0.134 0.134 0.693
0.297 0.297 0.448
0.410 0.410 0.111
0.590 0.590 0.889
0.703 0.703 0.552
0.866 0.866 0.307
```

Results
magnetic moment: 0.00 μB per atom
formation energy from raw total energies: -2819 meV per atom
energy: -7.32 eV per atom

---

Record 2
DFT (GGA-PBE) results for an optimized crystal structure of NdDyZn2Ga2.

POSCAR file:
```
NdDyZn2Ga2
1.0
4.453 0.000 0.000
-2.226 3.856 0.000
0.000 0.000 7.400
Nd Dy Zn Ga
1 1 2 2
Direct
0.000 0.000 0.000
0.000 0.000 0.500
0.333 0.667 0.274
0.667 0.333 0.726
0.333 0.667 0.735
0.667 0.333 0.265
```

Results
formation energy from the elements: -0.56 eV/atom
magnetic moment: 0.00 μB per atom
energy: -3.56 eV per atom

---

Record 3
DFT (GGA-PBE) results for an optimized crystal structure of Tb5ErRh4.

POSCAR file:
```
Tb5ErRh4
1.0
-2.109 3.660 8.275
2.109 -3.660 8.275
2.109 3.660 -8.275
Tb Er Rh
5 1 4
Direct
0.000 0.000 0.000
0.091 0.336 0.755
0.420 0.664 0.755
0.580 0.336 0.245
0.909 0.664 0.245
0.500 0.000 0.500
0.248 0.500 0.748
0.301 0.801 0.500
0.699 0.199 0.500
0.752 0.500 0.252
```

Results
formation energy from the elements: -0.65 eV/atom
magnetic moment: 0.00 μB per atom
energy: -6.36 eV per atom